Record 1
Here is a geometry-optimized Ta2ZnAg structure from the Alexandria database. Energies are from PBE.

Summary:
- Space-group type: I-4m2 (119)
- V: 68.8 Å³ per cell

Unit cell a=5.1630 b=5.1630 c=5.1630 alpha=134.56 beta=134.56 gamma=66.21
With the nearest neighbours (Å) after each atom.
Atoms (fractional coordinates):
Ta: 0.0000 0.0000 0.0000  4 Ag 2.82, 4 Ta 2.94, 4 Zn 2.94
Ta: 0.7500 0.2500 0.5000  4 Zn 2.82, 4 Ag 2.94, 4 Ta 2.94
Zn: 0.2500 0.7500 0.5000  8 Ta 2.82-2.94, 4 Ag 2.94
Ag: 0.5000 0.5000 0.0000  8 Ta 2.82-2.94, 4 Zn 2.94



Record 2
Here is a geometry-optimized TaZnAg2 structure from the Alexandria database. Energies are from PBE.

Summary:
- Space-group type: P2/m (10)
- V: 68.3 Å³ per cell

Unit cell a=2.7627 b=4.5587 c=5.4836 alpha=90.00 beta=98.63 gamma=90.00
With the nearest neighbours (Å) after each atom.
Atoms (fractional coordinates):
Ta: 0.0000 0.0000 0.0000  2 Ta 2.76, 2 Zn 2.88, 4 Ag 2.91
Zn: 0.5000 0.0000 0.5000  4 Ag 2.71, 2 Zn 2.76, 2 Ta 2.88
Ag: 0.3463 0.5000 0.7447  2 Zn 2.71, 4 Ag 2.76-2.93, 2 Ta 2.91
Ag: 0.6537 0.5000 0.2553  2 Zn 2.71, 4 Ag 2.76-2.93, 2 Ta 2.91



Record 3
Here is a geometry-optimized TaZnAg2 structure from the Alexandria database. Energies are from PBE.

Summary:
- Space-group type: Cmm2 (35)
- V: 67.8 Å³ per cell

Unit cell a=2.8679 b=2.8679 c=8.2434 alpha=90.00 beta=90.00 gamma=90.11
With the nearest neighbours (Å) after each atom.
Atoms (fractional coordinates):
Ta: 0.0000 0.0000 0.0000  4 Zn 2.79, 4 Ta 2.87, 4 Ag 2.99-3.00
Zn: 0.5000 0.5000 0.7671  4 Ta 2.79, 4 Ag 2.81, 4 Zn 2.87
Ag: 0.0000 0.0000 0.5317  4 Zn 2.81, 8 Ag 2.87-2.98
Ag: 0.5000 0.5000 0.2672  8 Ag 2.87-2.98, 4 Ta 2.99-3.00



Record 4
Here is a geometry-optimized Ta2ZnAg structure from the Alexandria database. Energies are from PBE.

Summary:
- Space-group type: I-42d (122)
- V: 146.2 Å³ per cell

Unit cell a=5.8826 b=5.8826 c=5.8826 alpha=101.71 beta=101.71 gamma=126.44
With the nearest neighbours (Å) after each atom.
Atoms (fractional coordinates):
Ta: 0.1153 0.1250 0.4903  2 Ta 2.65, 2 Zn 2.66, 2 Ag 2.76
Ta: 0.3750 0.8847 0.0097  2 Ta 2.65, 2 Zn 2.66, 2 Ag 2.76
Ta: 0.6347 0.6250 0.5097  2 Ta 2.65, 2 Zn 2.66, 2 Ag 2.76
Ta: 0.8750 0.3653 0.9903  2 Ta 2.65, 2 Zn 2.66, 2 Ag 2.76
Zn: 0.0000 0.0000 0.0000  2 Ag 2.65, 4 Ta 2.66
Zn: 0.7500 0.2500 0.5000  2 Ag 2.65, 4 Ta 2.66
Ag: 0.2500 0.7500 0.5000  2 Zn 2.65, 4 Ta 2.76
Ag: 0.5000 0.5000 0.0000  2 Zn 2.65, 4 Ta 2.76



Record 5
Here is a geometry-optimized TaZnAg2 structure from the Alexandria database. Energies are from PBE.

Summary:
- Space-group type: P4/mmm (123)
- V: 69.8 Å³ per cell

Unit cell a=4.9585 b=4.9585 c=2.8387 alpha=90.00 beta=90.00 gamma=90.00
With the nearest neighbours (Å) after each atom.
Atoms (fractional coordinates):
Ta: 0.0000 0.0000 0.0000  2 Ta 2.84, 8 Ag 2.86
Zn: 0.5000 0.5000 0.0000  2 Zn 2.84, 8 Ag 2.86
Ag: 0.0000 0.5000 0.5000  2 Ag 2.84, 4 Ta 2.86, 4 Zn 2.86
Ag: 0.5000 0.0000 0.5000  2 Ag 2.84, 4 Ta 2.86, 4 Zn 2.86



Record 6
Here is a geometry-optimized Ta2ZnAg structure from the Alexandria database. Energies are from PBE.

Summary:
- Space-group type: Cm (8)
- V: 69.0 Å³ per cell

Unit cell a=5.2841 b=5.2841 c=5.0752 alpha=112.29 beta=112.29 gamma=32.00
With the nearest neighbours (Å) after each atom.
Atoms (fractional coordinates):
Ta: 0.0000 0.0000 0.0000  5 Ta 2.80-2.91, 4 Zn 2.90-2.95, 3 Ag 2.98-3.07
Ta: 0.2479 0.2479 0.8861  5 Ta 2.80-2.91, 2 Zn 2.90, 4 Ag 2.91-2.95
Zn: 0.5013 0.5013 0.4947  3 Ag 2.74-2.84, 6 Ta 2.90-2.95, 2 Zn 2.91
Ag: 0.7581 0.7581 0.3986  3 Zn 2.74-2.84, 6 Ta 2.91-2.98, 2 Ag 2.91



Record 7
Here is a geometry-optimized TaZnAg2 structure from the Alexandria database. Energies are from PBE.

Summary:
- Space-group type: I-42d (122)
- V: 147.7 Å³ per cell

Unit cell a=5.8774 b=5.8774 c=5.8774 alpha=102.38 beta=102.38 gamma=124.84
With the nearest neighbours (Å) after each atom.
Atoms (fractional coordinates):
Ta: 0.0000 0.0000 0.0000  2 Zn 2.72, 4 Ag 2.81
Ta: 0.7500 0.2500 0.5000  2 Zn 2.72, 4 Ag 2.81
Zn: 0.2500 0.7500 0.5000  4 Ag 2.58, 2 Ta 2.72
Zn: 0.5000 0.5000 0.0000  4 Ag 2.58, 2 Ta 2.72
Ag: 0.1471 0.6250 0.0221  2 Zn 2.58, 2 Ag 2.74, 2 Ta 2.81
Ag: 0.3750 0.3971 0.5221  2 Zn 2.58, 2 Ag 2.74, 2 Ta 2.81
Ag: 0.6029 0.1250 0.9779  2 Zn 2.58, 2 Ag 2.74, 2 Ta 2.81
Ag: 0.8750 0.8529 0.4779  2 Zn 2.58, 2 Ag 2.74, 2 Ta 2.81



Record 8
Here is a geometry-optimized Ta2ZnAg structure from the Alexandria database. Energies are from PBE.

Summary:
- Space-group type: F-43m (216)
- V: 70.7 Å³ per cell

Unit cell a=4.6408 b=4.6408 c=4.6408 alpha=60.00 beta=60.00 gamma=60.00
With the nearest neighbours (Å) after each atom.
Atoms (fractional coordinates):
Ta: 0.0000 0.0000 0.0000  4 Zn 2.84, 4 Ta 2.84
Ta: 0.2500 0.2500 0.2500  4 Ta 2.84, 4 Ag 2.84
Zn: 0.7500 0.7500 0.7500  4 Ta 2.84, 4 Ag 2.84
Ag: 0.5000 0.5000 0.5000  4 Zn 2.84, 4 Ta 2.84



Record 9
Here is a geometry-optimized Ta2ZnAg structure from the Alexandria database. Energies are from PBE.

Summary:
- Space-group type: P4/mmm (123)
- V: 67.5 Å³ per cell

Unit cell a=2.8401 b=2.8401 c=8.3639 alpha=90.00 beta=90.00 gamma=90.00
With the nearest neighbours (Å) after each atom.
Atoms (fractional coordinates):
Ta: 0.0000 0.0000 0.2343  4 Zn 2.81, 4 Ta 2.84, 4 Ag 3.00
Ta: 0.0000 0.0000 0.7657  4 Zn 2.81, 4 Ta 2.84, 4 Ag 3.00
Zn: 0.5000 0.5000 0.0000  8 Ta 2.81, 4 Zn 2.84
Ag: 0.5000 0.5000 0.5000  4 Ag 2.84, 8 Ta 3.00



Record 10
Here is a geometry-optimized TaZnAg2 structure from the Alexandria database. Energies are from PBE.

Summary:
- Space-group type: Pmm2 (25)
- V: 68.3 Å³ per cell

Unit cell a=2.8122 b=3.9243 c=6.1875 alpha=90.00 beta=90.00 gamma=90.00
With the nearest neighbours (Å) after each atom.
Atoms (fractional coordinates):
Ta: 0.0000 0.0000 0.0000  2 Ta 2.81, 4 Zn 2.84, 5 Ag 2.90-2.98
Zn: 0.5000 0.5000 0.2405  2 Zn 2.81, 4 Ta 2.84, 6 Ag 2.84-3.10
Ag: 0.0000 0.0000 0.4812  6 Ag 2.81-2.90, 4 Zn 2.84, 1 Ta 2.98
Ag: 0.5000 0.5000 0.7416  6 Ag 2.81-2.90, 4 Ta 2.90, 2 Zn 3.09-3.10



Record 11
Here is a geometry-optimized TaZnAg2 structure from the Alexandria database. Energies are from PBE.

Summary:
- Space-group type: Pmmm (47)
- V: 68.5 Å³ per cell

Unit cell a=2.7969 b=4.2082 c=5.8204 alpha=90.00 beta=90.00 gamma=90.00
With the nearest neighbours (Å) after each atom.
Atoms (fractional coordinates):
Ta: 0.0000 0.0000 0.0000  2 Ta 2.80, 2 Zn 2.91, 8 Ag 2.92
Zn: 0.0000 0.0000 0.5000  2 Zn 2.80, 8 Ag 2.91, 2 Ta 2.91
Ag: 0.5000 0.5000 0.2522  4 Ag 2.80-2.94, 4 Zn 2.91, 4 Ta 2.92
Ag: 0.5000 0.5000 0.7478  4 Ag 2.80-2.94, 4 Zn 2.91, 4 Ta 2.92



Record 12
Here is a geometry-optimized TaZnAg2 structure from the Alexandria database. Energies are from PBE.

Summary:
- Space-group type: C2/m (12)
- V: 68.4 Å³ per cell

Unit cell a=4.9738 b=4.9738 c=5.2227 alpha=97.24 beta=97.24 gamma=32.29
With the nearest neighbours (Å) after each atom.
Atoms (fractional coordinates):
Ta: 0.0000 0.0000 0.0000  2 Ta 2.77, 6 Ag 2.85-2.94, 4 Zn 2.96
Zn: 0.5000 0.5000 0.5000  2 Zn 2.77, 6 Ag 2.89-2.90, 4 Ta 2.96
Ag: 0.2475 0.2475 0.7487  6 Ag 2.77-2.96, 3 Ta 2.85-2.94, 3 Zn 2.89-2.90
Ag: 0.7525 0.7525 0.2513  6 Ag 2.77-2.96, 3 Ta 2.85-2.94, 3 Zn 2.89-2.90



The calculated formation energy results, record by record, are as follows: 336, 249, 96, 717, 392, 216, 716, 530, 181, 231, 270, 252 meV/atom.